Entry 1:
First-principles (PBE) data for a geometry-optimized NaNb2Se4 structure, as listed in Alexandria via LeMat-Bulk.

Output
Density   5.23 g/cm³
Total magnetic moment   0.00 μB/atom
E   -5.950 eV per atom
Raw formation energy   -893 meV per atom

Structure (CIF):
```
data_NaNb2Se4
_chemical_formula_sum 'Na1 Nb2 Se4'
_cell_length_a 3.537
_cell_length_b 6.060
_cell_length_c 8.040
_cell_angle_alpha 104.96
_cell_angle_beta 90.00
_cell_angle_gamma 90.00
_space_group_name_H-M_alt 'P 1'
_space_group_IT_number 1
loop_
_space_group_symop_operation_xyz
'x,y,z'
loop_
_atom_site_label
_atom_site_fract_x
_atom_site_fract_y
_atom_site_fract_z
_atom_site_occupancy
Se1 0.000 0.759 0.284 1
Nb1 0.000 0.500 0.500 1
Se2 0.000 0.241 0.716 1
Se3 0.500 0.261 0.283 1
Se4 0.500 0.739 0.717 1
Na1 0.000 0.000 0.000 1
Nb2 0.500 0.000 0.500 1
```

***

Entry 2:
First-principles (PBE) data for a geometry-optimized MgAgRh2 structure, as listed in Alexandria via LeMat-Bulk.

Output
Density   8.99 g/cm³
Total magnetic moment   0.00 μB/atom
E   -4.787 eV per atom

Structure (CIF):
```
data_MgAgRh2
_chemical_formula_sum 'Mg1 Ag1 Rh2'
_cell_length_a 3.132
_cell_length_b 3.132
_cell_length_c 6.365
_cell_angle_alpha 90.00
_cell_angle_beta 90.00
_cell_angle_gamma 90.00
_space_group_name_H-M_alt 'P 1'
_space_group_IT_number 1
loop_
_space_group_symop_operation_xyz
'x,y,z'
loop_
_atom_site_label
_atom_site_fract_x
_atom_site_fract_y
_atom_site_fract_z
_atom_site_occupancy
Ag1 0.500 0.500 0.250 1
Mg1 0.500 0.500 0.750 1
Rh1 0.000 0.000 0.518 1
Rh2 0.000 0.000 0.982 1
```

***

Entry 3:
First-principles (PBE) data for a geometry-optimized CaTm2Tc structure, as listed in Alexandria via LeMat-Bulk.

Output
Density   7.22 g/cm³
Total magnetic moment   0.00 μB/atom
E   -5.364 eV per atom

Structure (CIF):
```
data_CaTm2Tc
_chemical_formula_sum 'Ca1 Tm2 Tc1'
_cell_length_a 3.472
_cell_length_b 3.472
_cell_length_c 9.080
_cell_angle_alpha 90.00
_cell_angle_beta 90.00
_cell_angle_gamma 90.00
_space_group_name_H-M_alt 'P 1'
_space_group_IT_number 1
loop_
_space_group_symop_operation_xyz
'x,y,z'
loop_
_atom_site_label
_atom_site_fract_x
_atom_site_fract_y
_atom_site_fract_z
_atom_site_occupancy
Tm1 0.000 0.000 0.174 1
Ca1 0.500 0.500 0.500 1
Tm2 0.000 0.000 0.826 1
Tc1 0.500 0.500 0.000 1
```

***

Entry 4:
First-principles (PBE) data for a geometry-optimized Sr2UGeRh6 structure, as listed in Alexandria via LeMat-Bulk.

Output
Density   8.52 g/cm³
Total magnetic moment   0.00 μB/atom
E   -6.768 eV per atom

Structure (CIF):
```
data_Sr2UGeRh6
_chemical_formula_sum 'Sr2 U1 Ge1 Rh6'
_cell_length_a 6.618
_cell_length_b 6.840
_cell_length_c 6.844
_cell_angle_alpha 60.06
_cell_angle_beta 58.75
_cell_angle_gamma 89.99
_space_group_name_H-M_alt 'P 1'
_space_group_IT_number 1
loop_
_space_group_symop_operation_xyz
'x,y,z'
loop_
_atom_site_label
_atom_site_fract_x
_atom_site_fract_y
_atom_site_fract_z
_atom_site_occupancy
Rh1 0.132 0.246 0.111 1
Rh2 0.870 0.757 0.489 1
Rh3 0.868 0.754 0.889 1
Ge1 0.000 0.000 0.000 1
Sr1 0.618 0.206 0.588 1
Sr2 0.382 0.794 0.412 1
U1 0.500 0.500 0.000 1
Rh4 0.131 0.642 0.114 1
Rh5 0.869 0.358 0.886 1
Rh6 0.130 0.243 0.511 1
```

***

Entry 5:
First-principles (PBE) data for a geometry-optimized BaBeCu2 structure, as listed in Alexandria via LeMat-Bulk.

Output
Density   6.27 g/cm³
Total magnetic moment   0.00 μB/atom
E   -3.099 eV per atom

Structure (CIF):
```
data_BaBeCu2
_chemical_formula_sum 'Ba1 Be1 Cu2'
_cell_length_a 3.160
_cell_length_b 3.160
_cell_length_c 7.249
_cell_angle_alpha 90.00
_cell_angle_beta 90.00
_cell_angle_gamma 90.00
_space_group_name_H-M_alt 'P 1'
_space_group_IT_number 1
loop_
_space_group_symop_operation_xyz
'x,y,z'
loop_
_atom_site_label
_atom_site_fract_x
_atom_site_fract_y
_atom_site_fract_z
_atom_site_occupancy
Ba1 0.500 0.500 0.250 1
Cu1 0.000 0.000 0.589 1
Be1 0.500 0.500 0.750 1
Cu2 0.000 0.000 0.911 1
```

***

Entry 6:
First-principles (PBE) data for a geometry-optimized B2C3 structure, as listed in Alexandria via LeMat-Bulk.

Output
Density   2.91 g/cm³
Total magnetic moment   0.00 μB/atom
E   -7.706 eV per atom

Structure (CIF):
```
data_B2C3
_chemical_formula_sum 'B4 C6'
_cell_length_a 4.609
_cell_length_b 4.609
_cell_length_c 4.609
_cell_angle_alpha 99.19
_cell_angle_beta 99.19
_cell_angle_gamma 132.90
_space_group_name_H-M_alt 'P 1'
_space_group_IT_number 1
loop_
_space_group_symop_operation_xyz
'x,y,z'
loop_
_atom_site_label
_atom_site_fract_x
_atom_site_fract_y
_atom_site_fract_z
_atom_site_occupancy
C1 0.350 0.763 0.801 1
C2 0.013 0.713 0.914 1
B1 0.733 0.961 0.388 1
B2 0.595 0.483 0.272 1
B3 0.573 0.345 0.612 1
C3 0.963 0.549 0.199 1
C4 0.382 0.882 0.500 1
C5 0.799 0.100 0.086 1
C6 0.132 0.132 0.000 1
B4 0.211 0.323 0.728 1
```

***

Entry 7:
First-principles (PBE) data for a geometry-optimized As2CS structure, as listed in Alexandria via LeMat-Bulk.

Output
Density   5.37 g/cm³
Total magnetic moment   0.00 μB/atom
E   -4.103 eV per atom
Raw formation energy   1560 meV per atom

Structure (CIF):
```
data_As2CS
_chemical_formula_sum 'As2 C1 S1'
_cell_length_a 4.394
_cell_length_b 4.394
_cell_length_c 4.394
_cell_angle_alpha 60.00
_cell_angle_beta 60.00
_cell_angle_gamma 60.00
_space_group_name_H-M_alt 'P 1'
_space_group_IT_number 1
loop_
_space_group_symop_operation_xyz
'x,y,z'
loop_
_atom_site_label
_atom_site_fract_x
_atom_site_fract_y
_atom_site_fract_z
_atom_site_occupancy
As1 0.250 0.250 0.250 1
C1 0.000 0.000 0.000 1
S1 0.500 0.500 0.500 1
As2 0.750 0.750 0.750 1
```

***

Entry 8:
First-principles (PBE) data for a geometry-optimized Dy3Er2Tm7 structure, as listed in Alexandria via LeMat-Bulk.

Output
Density   9.05 g/cm³
Total magnetic moment   0.00 μB/atom
E   -4.434 eV per atom

Structure (CIF):
```
data_Dy3Er2Tm7
_chemical_formula_sum 'Dy3 Er2 Tm7'
_cell_length_a 3.466
_cell_length_b 6.222
_cell_length_c 17.609
_cell_angle_alpha 75.63
_cell_angle_beta 90.00
_cell_angle_gamma 90.00
_space_group_name_H-M_alt 'P 1'
_space_group_IT_number 1
loop_
_space_group_symop_operation_xyz
'x,y,z'
loop_
_atom_site_label
_atom_site_fract_x
_atom_site_fract_y
_atom_site_fract_z
_atom_site_occupancy
Dy1 0.500 0.500 0.000 1
Tm1 0.000 0.560 0.165 1
Tm2 0.500 0.943 0.833 1
Tm3 0.500 0.245 0.501 1
Tm4 0.000 0.440 0.835 1
Tm5 0.000 0.000 0.000 1
Dy2 0.000 0.106 0.343 1
Er1 0.500 0.613 0.326 1
Dy3 0.000 0.894 0.657 1
Tm6 0.500 0.755 0.499 1
Er2 0.500 0.387 0.674 1
Tm7 0.500 0.057 0.167 1
```

***

> What is the formula in the seventh record?

As2CS

***

Copy entry 6 word for word.
First-principles (PBE) data for a geometry-optimized B2C3 structure, as listed in Alexandria via LeMat-Bulk.

Output
Density   2.91 g/cm³
Total magnetic moment   0.00 μB/atom
E   -7.706 eV per atom

Structure (CIF):
```
data_B2C3
_chemical_formula_sum 'B4 C6'
_cell_length_a 4.609
_cell_length_b 4.609
_cell_length_c 4.609
_cell_angle_alpha 99.19
_cell_angle_beta 99.19
_cell_angle_gamma 132.90
_space_group_name_H-M_alt 'P 1'
_space_group_IT_number 1
loop_
_space_group_symop_operation_xyz
'x,y,z'
loop_
_atom_site_label
_atom_site_fract_x
_atom_site_fract_y
_atom_site_fract_z
_atom_site_occupancy
C1 0.350 0.763 0.801 1
C2 0.013 0.713 0.914 1
B1 0.733 0.961 0.388 1
B2 0.595 0.483 0.272 1
B3 0.573 0.345 0.612 1
C3 0.963 0.549 0.199 1
C4 0.382 0.882 0.500 1
C5 0.799 0.100 0.086 1
C6 0.132 0.132 0.000 1
B4 0.211 0.323 0.728 1
```